DFT (PBE-GGA) results for a relaxed Na2RuS4 crystal.

Computed properties:
formation energy without anion corrections: -0.190 eV per atom

Lattice parameters (Å, degrees): 4.7747 4.7747 14.2286 90.00 90.00 90.00
Space group I4/mmm (No. 139)
Inequivalent atoms, fractional coordinates:
Na 0.0000 0.0000 0.1383 [4 per cell]
Ru 0.0000 0.0000 0.5000 [2 per cell]
S 0.0000 0.0000 0.3365 [4 per cell]
S 0.0000 0.5000 0.0000 [4 per cell]

DFT (PBE-GGA) results for a relaxed NaRuS crystal.

Computed properties:
formation energy without anion corrections: -0.403 eV per atom

Lattice parameters (Å, degrees): 3.9504 3.9504 8.1687 90.00 90.00 90.00
Space group P4/nmm (No. 129, origin choice 2)
Inequivalent atoms, fractional coordinates:
Na 0.2500 0.2500 0.1736 [2 per cell]
Ru 0.2500 0.7500 0.5000 [2 per cell]
S 0.2500 0.2500 0.6533 [2 per cell]

DFT (PBE-GGA) results for a relaxed Na2RuS crystal.

Computed properties:
formation energy without anion corrections: -0.009 eV per atom

Lattice parameters (Å, degrees): 10.4249 10.4249 4.3320 90.00 90.00 90.00
Space group I-42d (No. 122)
Inequivalent atoms, fractional coordinates:
Na 0.0735 0.2500 0.1250 [8 per cell]
Ru 0.0000 0.0000 0.5000 [4 per cell]
S 0.0000 0.0000 0.0000 [4 per cell]

DFT (PBE-GGA) results for a relaxed NaSbRu2S crystal.

Computed properties:
formation energy without anion corrections: 0.531 eV per atom

Lattice parameters (Å, degrees): 4.4033 4.4033 5.2947 90.00 90.00 90.00
Space group P4/mmm (No. 123)
Inequivalent atoms, fractional coordinates:
Na 0.0000 0.0000 0.0000 [1 per cell]
Sb 0.5000 0.5000 0.0000 [1 per cell]
Ru 0.0000 0.5000 0.5000 [2 per cell]
S 0.5000 0.5000 0.5000 [1 per cell]

DFT (PBE-GGA) results for a relaxed Na2SnRuS4 crystal.

Computed properties:
formation energy without anion corrections: -0.573 eV per atom

Lattice parameters (Å, degrees): 5.5799 5.5908 6.5990 67.11 67.10 90.00
Space group P1 (No. 1)
Inequivalent atoms, fractional coordinates:
Na 0.0000 0.0000 0.0000 [1 per cell]
Na 0.2564 0.7461 0.4983 [1 per cell]
Sn 0.5200 0.4799 0.9998 [1 per cell]
Ru 0.7905 0.2097 0.5000 [1 per cell]
S 0.2064 0.2680 0.4592 [1 per cell]
S 0.5345 0.0560 0.9220 [1 per cell]
S 0.7332 0.7947 0.5409 [1 per cell]
S 0.9449 0.4655 0.0784 [1 per cell]

DFT (PBE-GGA) results for a relaxed NaTlRuS2 crystal.

Computed properties:
formation energy without anion corrections: 1.098 eV per atom

Lattice parameters (Å, degrees): 4.9810 4.9810 5.0830 90.00 90.00 90.00
Space group P4/mmm (No. 123)
Inequivalent atoms, fractional coordinates:
Na 0.0000 0.0000 0.0000 [1 per cell]
Tl 0.0000 0.0000 0.5000 [1 per cell]
Ru 0.5000 0.5000 0.5000 [1 per cell]
S 0.0000 0.5000 0.0000 [2 per cell]

DFT (PBE-GGA) results for a relaxed Na4Zr3RuS8 crystal.

Computed properties:
formation energy without anion corrections: -1.274 eV per atom

Lattice parameters (Å, degrees): 7.2728 7.2728 20.4953 90.00 90.00 120.00
Space group R-3m (No. 166, hexagonal axes)
Inequivalent atoms, fractional coordinates:
Na 0.0000 0.0000 0.0000 [3 per cell]
Na 0.0000 0.5000 0.0000 [9 per cell]
Zr 0.0000 0.5000 0.5000 [9 per cell]
Ru 0.0000 0.0000 0.5000 [3 per cell]
S 0.0000 0.0000 0.2417 [6 per cell]
S 0.0144 0.5072 0.2392 [18 per cell]

DFT (PBE-GGA) results for a relaxed Na2Sb2Ru crystal.

Computed properties:
formation energy without anion corrections: 0.342 eV per atom

Lattice parameters (Å, degrees): 3.6210 3.6210 16.5557 90.00 90.00 90.00
Space group I4/mmm (No. 139)
Inequivalent atoms, fractional coordinates:
Na 0.0000 0.5000 0.2500 [4 per cell]
Sb 0.0000 0.0000 0.0892 [4 per cell]
Ru 0.0000 0.0000 0.5000 [2 per cell]